1.
DFT (GGA-PBEsol) results for an optimized crystal structure of Ca2MgIr2.

Cell lengths 6.901, 6.901, 4.400 Å; angles 90.00, 90.00, 90.00 degrees
Sites, in units of the cell vectors:
Ca (0.171, 0.329, 0.000)
Ca (0.329, 0.829, 0.000)
Ca (0.671, 0.171, 0.000)
Ca (0.829, 0.671, 0.000)
Mg (0.000, 0.000, 0.500)
Mg (0.500, 0.500, 0.500)
Ir (0.128, 0.628, 0.500)
Ir (0.372, 0.128, 0.500)
Ir (0.628, 0.872, 0.500)
Ir (0.872, 0.372, 0.500)

Summary:
Crystal system = tetragonal
Space-group type = P4/mbm
Calculated formation energy = -225 meV per atom
DFT total energy = -0.393 Ry/atom
Spin magnetization = 0.000 μB per atom

---

2.
DFT (GGA-PBEsol) results for an optimized crystal structure of CaMgIr.

Cell lengths 4.586, 4.586, 4.586 Å; angles 60.00, 60.00, 60.00 degrees
Sites, in units of the cell vectors:
Ca (0.000, 0.000, 0.000)
Mg (0.500, 0.500, 0.500)
Ir (0.250, 0.250, 0.250)

Summary:
Crystal system = cubic
Space-group type = F-43m
Calculated formation energy = -35 meV per atom
DFT total energy = -0.338 Ry/atom
Spin magnetization = 0.000 μB per atom

---

3.
DFT (GGA-PBEsol) results for an optimized crystal structure of CaMg2IrSe.

Cell lengths 5.564, 5.564, 4.949 Å; angles 90.00, 90.00, 90.00 degrees
Sites, in units of the cell vectors:
Ca (0.000, 0.000, 0.000)
Mg (0.000, 0.500, 0.000)
Mg (0.500, 0.000, 0.000)
Ir (0.500, 0.500, 0.500)
Se (0.000, 0.000, 0.500)

Summary:
Crystal system = tetragonal
Space-group type = P4/mmm
DFT total energy = -0.179 Ry/atom
Formation energy from raw total energies = 1.41 eV per atom
Spin magnetization = 0.415 μB per atom

---

4.
DFT (GGA-PBEsol) results for an optimized crystal structure of Ca2MgIrSe.

Cell lengths 5.589, 5.589, 4.468 Å; angles 90.00, 90.00, 90.00 degrees
Sites, in units of the cell vectors:
Ca (0.000, 0.500, 0.000)
Ca (0.500, 0.000, 0.000)
Mg (0.000, 0.000, 0.000)
Ir (0.000, 0.000, 0.500)
Se (0.500, 0.500, 0.500)

Summary:
Crystal system = tetragonal
Space-group type = P4/mmm
DFT total energy = -0.265 Ry/atom
Formation energy from raw total energies = 0.32 eV per atom
Spin magnetization = 0.035 μB per atom

---

5.
DFT (GGA-PBEsol) results for an optimized crystal structure of CaMnIr4.

Cell lengths 5.202, 5.202, 5.202 Å; angles 60.00, 60.00, 60.00 degrees
Sites, in units of the cell vectors:
Ca (0.000, 0.000, 0.000)
Mn (0.250, 0.250, 0.250)
Ir (0.126, 0.625, 0.625)
Ir (0.625, 0.126, 0.625)
Ir (0.625, 0.625, 0.126)
Ir (0.625, 0.625, 0.625)

Summary:
Crystal system = cubic
Space-group type = F-43m
Calculated formation energy = 6 meV per atom
DFT total energy = -0.627 Ry/atom
Spin magnetization = 0.799 μB per atom

---

6.
DFT (GGA-PBEsol) results for an optimized crystal structure of CaMn2Ir.

Cell lengths 2.662, 4.185, 5.803 Å; angles 90.00, 102.37, 90.00 degrees
Sites, in units of the cell vectors:
Ca (0.000, 0.000, 0.000)
Mn (0.443, 0.500, 0.334)
Mn (0.557, 0.500, 0.666)
Ir (0.000, 0.000, 0.500)

Summary:
Crystal system = monoclinic
Space-group type = P2/m
Calculated formation energy = 436 meV per atom
DFT total energy = -0.546 Ry/atom
Spin magnetization = 0.001 μB per atom

---

7.
DFT (GGA-PBEsol) results for an optimized crystal structure of CaMn2Ir.

Cell lengths 3.032, 3.032, 7.138 Å; angles 90.00, 90.00, 90.00 degrees
Sites, in units of the cell vectors:
Ca (0.000, 0.000, 0.000)
Mn (0.000, 0.000, 0.493)
Mn (0.500, 0.500, 0.651)
Ir (0.500, 0.500, 0.286)

Summary:
Crystal system = tetragonal
Space-group type = P4mm
Calculated formation energy = 232 meV per atom
DFT total energy = -0.561 Ry/atom
Spin magnetization = 0.012 μB per atom

---

8.
DFT (GGA-PBEsol) results for an optimized crystal structure of CaMn2Ir.

Cell lengths 9.385, 9.385, 9.385 Å; angles 17.55, 17.55, 17.55 degrees
Sites, in units of the cell vectors:
Ca (0.000, 0.000, 0.000)
Mn (0.240, 0.240, 0.240)
Mn (0.760, 0.760, 0.760)
Ir (0.500, 0.500, 0.500)

Summary:
Crystal system = trigonal
Space-group type = R-3m
Calculated formation energy = 685 meV per atom
DFT total energy = -0.528 Ry/atom
Spin magnetization = 1.649 μB per atom

---

9.
DFT (GGA-PBEsol) results for an optimized crystal structure of CaMnMoIr2.

Cell lengths 4.670, 4.670, 4.493 Å; angles 90.00, 90.00, 90.00 degrees
Sites, in units of the cell vectors:
Ca (0.000, 0.000, 0.000)
Mn (0.500, 0.500, 0.500)
Mo (0.000, 0.000, 0.500)
Ir (0.000, 0.500, 0.000)
Ir (0.500, 0.000, 0.000)

Summary:
Crystal system = tetragonal
Space-group type = P4/mmm
Calculated formation energy = 2506 meV per atom
DFT total energy = -0.452 Ry/atom
Spin magnetization = 0.599 μB per atom

---

10.
DFT (GGA-PBEsol) results for an optimized crystal structure of CaMn2IrPt.

Cell lengths 4.383, 4.383, 4.651 Å; angles 90.00, 90.00, 90.00 degrees
Sites, in units of the cell vectors:
Ca (0.000, 0.000, 0.000)
Mn (0.000, 0.500, 0.000)
Mn (0.500, 0.000, 0.000)
Ir (0.500, 0.500, 0.500)
Pt (0.000, 0.000, 0.500)

Summary:
Crystal system = tetragonal
Space-group type = P4/mmm
Calculated formation energy = 2050 meV per atom
DFT total energy = -0.414 Ry/atom
Spin magnetization = 1.554 μB per atom

---

11.
DFT (GGA-PBEsol) results for an optimized crystal structure of CaMo2Ir.

Cell lengths 5.362, 5.362, 2.748 Å; angles 98.29, 98.29, 120.28 degrees
Sites, in units of the cell vectors:
Ca (0.000, 0.000, 0.000)
Mo (0.000, 0.500, 0.500)
Mo (0.500, 0.000, 0.500)
Ir (0.500, 0.500, 0.000)

Summary:
Crystal system = monoclinic
Space-group type = C2/m
Calculated formation energy = 428 meV per atom
DFT total energy = -0.621 Ry/atom
Spin magnetization = 0.000 μB per atom

---

12.
DFT (GGA-PBEsol) results for an optimized crystal structure of Ca3MoIr.

Cell lengths 5.026, 5.026, 5.026 Å; angles 90.00, 90.00, 90.00 degrees
Sites, in units of the cell vectors:
Ca (0.000, 0.000, 0.500)
Ca (0.000, 0.500, 0.000)
Ca (0.500, 0.000, 0.000)
Mo (0.000, 0.000, 0.000)
Ir (0.500, 0.500, 0.500)

Summary:
Crystal system = cubic
Space-group type = Pm-3m
Calculated formation energy = 1463 meV per atom
DFT total energy = -0.304 Ry/atom
Spin magnetization = 0.001 μB per atom

---

13.
DFT (GGA-PBEsol) results for an optimized crystal structure of Ca7IrN6.

Cell lengths 8.941, 8.941, 8.941 Å; angles 138.73, 98.93, 95.34 degrees
Sites, in units of the cell vectors:
Ca (0.045, 0.226, 0.271)
Ca (0.091, 0.498, 0.848)
Ca (0.150, 0.998, 0.407)
Ca (0.250, 0.250, 0.000)
Ca (0.350, 0.757, 0.848)
Ca (0.409, 0.257, 0.407)
Ca (0.455, 0.726, 0.181)
Ca (0.545, 0.274, 0.819)
Ca (0.591, 0.743, 0.593)
Ca (0.650, 0.243, 0.152)
Ca (0.750, 0.750, 0.000)
Ca (0.850, 0.002, 0.593)
Ca (0.909, 0.502, 0.152)
Ca (0.955, 0.774, 0.729)
Ir (0.250, 0.750, 0.500)
Ir (0.750, 0.250, 0.500)
N (0.078, 0.895, 0.580)
N (0.149, 0.895, 0.044)
N (0.185, 0.605, 0.182)
N (0.315, 0.498, 0.420)
N (0.351, 0.395, 0.746)
N (0.422, 0.002, 0.818)
N (0.578, 0.998, 0.182)
N (0.649, 0.605, 0.254)
N (0.685, 0.502, 0.580)
N (0.815, 0.395, 0.818)
N (0.851, 0.105, 0.956)
N (0.922, 0.105, 0.420)

Summary:
Crystal system = orthorhombic
Space-group type = Ibam
DFT total energy = -0.454 Ry/atom
Formation energy from raw total energies = -0.75 eV per atom
Spin magnetization = 0.000 μB per atom

---

14.
DFT (GGA-PBEsol) results for an optimized crystal structure of CaIrSeN2.

Cell lengths 3.858, 3.858, 5.389 Å; angles 90.00, 90.00, 90.00 degrees
Sites, in units of the cell vectors:
Ca (0.000, 0.000, 0.000)
Ir (0.500, 0.500, 0.500)
Se (0.500, 0.500, 0.000)
N (0.000, 0.500, 0.500)
N (0.500, 0.000, 0.500)

Summary:
Crystal system = tetragonal
Space-group type = P4/mmm
DFT total energy = -0.486 Ry/atom
Formation energy from raw total energies = -0.04 eV per atom
Spin magnetization = 0.000 μB per atom

---

15.
DFT (GGA-PBEsol) results for an optimized crystal structure of CaTe2IrN.

Cell lengths 4.581, 4.581, 4.443 Å; angles 90.00, 90.00, 90.00 degrees
Sites, in units of the cell vectors:
Ca (0.000, 0.000, 0.000)
Te (0.000, 0.500, 0.500)
Te (0.500, 0.000, 0.500)
Ir (0.500, 0.500, 0.000)
N (0.000, 0.000, 0.500)

Summary:
Crystal system = tetragonal
Space-group type = P4/mmm
DFT total energy = -0.387 Ry/atom
Formation energy from raw total energies = 0.25 eV per atom
Spin magnetization = 0.000 μB per atom

---

16.
DFT (GGA-PBEsol) results for an optimized crystal structure of NaCa3Ir.

Cell lengths 5.520, 5.520, 5.520 Å; angles 90.00, 90.00, 90.00 degrees
Sites, in units of the cell vectors:
Na (0.000, 0.000, 0.000)
Ca (0.000, 0.500, 0.500)
Ca (0.500, 0.000, 0.500)
Ca (0.500, 0.500, 0.000)
Ir (0.500, 0.500, 0.500)

Summary:
Crystal system = cubic
Space-group type = Pm-3m
Calculated formation energy = -143 meV per atom
DFT total energy = -0.270 Ry/atom
Spin magnetization = 0.000 μB per atom

---

17.
DFT (GGA-PBEsol) results for an optimized crystal structure of NaCaIr2.

Cell lengths 4.626, 4.626, 4.626 Å; angles 60.00, 60.00, 60.00 degrees
Sites, in units of the cell vectors:
Na (0.000, 0.000, 0.000)
Ca (0.500, 0.500, 0.500)
Ir (0.250, 0.250, 0.250)
Ir (0.750, 0.750, 0.750)

Summary:
Crystal system = cubic
Space-group type = Fm-3m
Calculated formation energy = 660 meV per atom
DFT total energy = -0.377 Ry/atom
Spin magnetization = 0.000 μB per atom

---

18.
DFT (GGA-PBEsol) results for an optimized crystal structure of NaCaTcIr2.

Cell lengths 4.672, 4.672, 5.014 Å; angles 90.00, 90.00, 90.00 degrees
Sites, in units of the cell vectors:
Na (0.000, 0.000, 0.000)
Ca (0.500, 0.500, 0.000)
Tc (0.000, 0.000, 0.500)
Ir (0.000, 0.500, 0.500)
Ir (0.500, 0.000, 0.500)

Summary:
Crystal system = tetragonal
Space-group type = P4/mmm
Calculated formation energy = 810 meV per atom
DFT total energy = -0.447 Ry/atom
Spin magnetization = 0.000 μB per atom

---

19.
DFT (GGA-PBEsol) results for an optimized crystal structure of CaNbRe2Ir.

Cell lengths 4.498, 4.498, 4.549 Å; angles 90.00, 90.00, 90.00 degrees
Sites, in units of the cell vectors:
Ca (0.000, 0.000, 0.000)
Nb (0.500, 0.500, 0.500)
Re (0.000, 0.500, 0.000)
Re (0.500, 0.000, 0.000)
Ir (0.000, 0.000, 0.500)

Summary:
Crystal system = tetragonal
Space-group type = P4/mmm
Calculated formation energy = 2674 meV per atom
DFT total energy = -0.530 Ry/atom
Spin magnetization = 0.000 μB per atom

---

20.
DFT (GGA-PBEsol) results for an optimized crystal structure of Ca2YNbIr.

Cell lengths 5.366, 5.366, 4.924 Å; angles 90.00, 90.00, 90.00 degrees
Sites, in units of the cell vectors:
Ca (0.000, 0.500, 0.000)
Ca (0.500, 0.000, 0.000)
Y (0.000, 0.000, 0.500)
Nb (0.500, 0.500, 0.500)
Ir (0.500, 0.500, 0.000)

Summary:
Crystal system = tetragonal
Space-group type = P4/mmm
Calculated formation energy = 344 meV per atom
DFT total energy = -0.441 Ry/atom
Spin magnetization = 0.151 μB per atom

---

21.
DFT (GGA-PBEsol) results for an optimized crystal structure of CaNiIr.

Cell lengths 4.254, 4.254, 4.254 Å; angles 60.00, 60.00, 60.00 degrees
Sites, in units of the cell vectors:
Ca (0.000, 0.000, 0.000)
Ni (0.250, 0.250, 0.250)
Ir (0.500, 0.500, 0.500)

Summary:
Crystal system = cubic
Space-group type = F-43m
Calculated formation energy = 381 meV per atom
DFT total energy = -0.416 Ry/atom
Spin magnetization = 0.389 μB per atom

---

22.
DFT (GGA-PBEsol) results for an optimized crystal structure of CaNiIr3.

Cell lengths 4.615, 4.615, 4.615 Å; angles 90.00, 90.00, 90.00 degrees
Sites, in units of the cell vectors:
Ca (0.000, 0.000, 0.000)
Ni (0.500, 0.500, 0.500)
Ir (0.000, 0.000, 0.500)
Ir (0.000, 0.500, 0.000)
Ir (0.500, 0.000, 0.000)

Summary:
Crystal system = cubic
Space-group type = Pm-3m
Calculated formation energy = 2799 meV per atom
DFT total energy = -0.349 Ry/atom
Excess energy over the best structure of this formula in the dataset = 1858 meV/atom
Spin magnetization = 0.590 μB per atom

---

23.
DFT (GGA-PBEsol) results for an optimized crystal structure of CaNi2Ir.

Cell lengths 8.701, 8.701, 8.701 Å; angles 18.38, 18.38, 18.38 degrees
Sites, in units of the cell vectors:
Ca (0.000, 0.000, 0.000)
Ni (0.244, 0.244, 0.244)
Ni (0.506, 0.506, 0.506)
Ir (0.762, 0.762, 0.762)

Summary:
Crystal system = trigonal
Space-group type = R3m
Calculated formation energy = 438 meV per atom
DFT total energy = -0.414 Ry/atom
Spin magnetization = 0.212 μB per atom

---

24.
DFT (GGA-PBEsol) results for an optimized crystal structure of CaNiIr3.

Cell lengths 4.502, 4.502, 4.502 Å; angles 90.00, 90.00, 90.00 degrees
Sites, in units of the cell vectors:
Ca (0.000, 0.000, 0.000)
Ni (0.500, 0.500, 0.500)
Ir (0.000, 0.500, 0.500)
Ir (0.500, 0.000, 0.500)
Ir (0.500, 0.500, 0.000)

Summary:
Crystal system = cubic
Space-group type = Pm-3m
Calculated formation energy = 941 meV per atom
DFT total energy = -0.486 Ry/atom
Excess energy over the best structure of this formula in the dataset = 0 meV/atom
Spin magnetization = 0.558 μB per atom

---

25.
DFT (GGA-PBEsol) results for an optimized crystal structure of CaNiIr4.

Cell lengths 5.170, 5.170, 5.170 Å; angles 60.00, 60.00, 60.00 degrees
Sites, in units of the cell vectors:
Ca (0.000, 0.000, 0.000)
Ni (0.750, 0.750, 0.750)
Ir (0.375, 0.375, 0.375)
Ir (0.375, 0.375, 0.874)
Ir (0.375, 0.874, 0.375)
Ir (0.874, 0.375, 0.375)

Summary:
Crystal system = cubic
Space-group type = F-43m
Calculated formation energy = 219 meV per atom
DFT total energy = -0.567 Ry/atom
Spin magnetization = 0.364 μB per atom